This record from the Alexandria database describes a relaxed structure of Tm3PbS6. The functional is PBE-GGA.

Lattice parameters (Å, degrees): 8.456 8.456 6.740 90.00 90.00 103.07
Sites, in units of the cell vectors:
1 Tm 0.093 0.907 0.500
2 Tm 0.209 0.413 0.594
3 Tm 0.413 0.209 0.094
4 Tm 0.587 0.791 0.594
5 Tm 0.791 0.587 0.094
6 Tm 0.907 0.093 0.000
7 Pb 0.322 0.678 0.107
8 Pb 0.678 0.322 0.607
9 S 0.054 0.597 0.329
10 S 0.133 0.197 0.292
11 S 0.197 0.133 0.792
12 S 0.271 0.729 0.717
13 S 0.403 0.946 0.329
14 S 0.490 0.510 0.368
15 S 0.510 0.490 0.868
16 S 0.597 0.054 0.829
17 S 0.729 0.271 0.217
18 S 0.803 0.867 0.292
19 S 0.867 0.803 0.792
20 S 0.946 0.403 0.829

Summary:
Formation energy (no corrections) in meV per atom: -1543
Volume in Å³ per cell: 469.4